V2AsRh (PBE, optimized geometry); electronic total energy = -60.3 eV per cell; ΔH_f (0 K) = 0.02 eV per atom
1.0
6.789 0.000 0.000
0.000 6.789 0.000
3.395 3.395 2.620
V Rh As
4 2 2
direct
0.375 0.378 0.750 V
0.875 0.872 0.750 V
0.622 0.125 0.250 V
0.128 0.625 0.250 V
0.000 0.000 0.000 Rh
0.750 0.250 0.500 Rh
0.500 0.500 0.000 As
0.250 0.750 0.500 As

---

GaPbI2 (PBE, optimized geometry); electronic total energy = -20.4 eV per cell
1.0
6.034 0.000 0.000
0.000 6.034 0.000
3.017 3.017 9.735
I Ga Pb
4 2 2
direct
0.875 0.874 0.750 I
0.375 0.376 0.750 I
0.126 0.625 0.250 I
0.624 0.125 0.250 I
0.500 0.500 0.000 Ga
0.250 0.750 0.500 Ga
0.000 0.000 0.000 Pb
0.750 0.250 0.500 Pb

---

Dy4TlGeTe2 (PBE, optimized geometry); electronic total energy = -39.3 eV per cell
1.0
4.252 0.000 0.000
0.000 7.414 0.145
0.000 -2.576 7.226
Te Dy Ge Tl
2 4 1 1
direct
0.000 0.500 0.500 Te
0.500 0.000 0.500 Te
0.500 0.769 0.773 Dy
0.000 0.758 0.240 Dy
0.000 0.242 0.760 Dy
0.500 0.231 0.227 Dy
0.000 0.000 0.000 Ge
0.500 0.500 0.000 Tl

---

Dy4Er5Tm4 (PBE, optimized geometry); electronic total energy = -58.8 eV per cell; ΔH_f (0 K) = 0.02 eV per atom
1.0
4.798 0.000 1.220
2.399 8.934 0.610
0.198 0.000 9.268
Tm Dy Er
4 4 5
direct
0.615 0.309 0.462 Tm
0.385 0.691 0.538 Tm
0.923 0.462 0.691 Tm
0.077 0.538 0.309 Tm
0.154 0.077 0.616 Dy
0.769 0.384 0.077 Dy
0.846 0.923 0.384 Dy
0.231 0.616 0.923 Dy
0.538 0.769 0.155 Er
0.693 0.845 0.769 Er
0.000 0.000 0.000 Er
0.462 0.231 0.845 Er
0.307 0.155 0.231 Er

---

What are the Fermi-level density of states values for these records? In order: 1.081 1.063 0.597 1.344 states/eV/atom.